Entry 1:
K3PSe16: optimized geometry, PBEsol.

Spin magnetization in μB/cell: 0.000
ΔE_f (raw) in eV per atom: -0.3404
Symmetry: Fd-3, No. 203

Unit cell a=11.470 b=11.470 c=11.470 alpha=60.00 beta=60.00 gamma=60.00
Element x y z (fractional)
1 K 0.625 0.625 0.625
2 K 0.625 0.125 0.625
3 K 0.625 0.625 0.125
4 K 0.125 0.625 0.625
5 K 0.000 0.000 0.000
6 K 0.250 0.250 0.250
7 P 0.750 0.750 0.750
8 P 0.500 0.500 0.500
9 Se 0.924 0.680 0.303
10 Se 0.303 0.092 0.924
11 Se 0.680 0.924 0.092
12 Se 0.092 0.303 0.680
13 Se 0.680 0.303 0.924
14 Se 0.092 0.924 0.303
15 Se 0.924 0.092 0.680
16 Se 0.303 0.680 0.092
17 Se 0.303 0.924 0.680
18 Se 0.924 0.303 0.092
19 Se 0.092 0.680 0.924
20 Se 0.680 0.092 0.303
21 Se 0.326 0.570 0.947
22 Se 0.947 0.158 0.326
23 Se 0.570 0.326 0.158
24 Se 0.158 0.947 0.570
25 Se 0.570 0.947 0.326
26 Se 0.158 0.326 0.947
27 Se 0.326 0.158 0.570
28 Se 0.947 0.570 0.158
29 Se 0.947 0.326 0.570
30 Se 0.326 0.947 0.158
31 Se 0.158 0.570 0.326
32 Se 0.570 0.158 0.947
33 Se 0.829 0.829 0.512
34 Se 0.512 0.829 0.829
35 Se 0.829 0.829 0.829
36 Se 0.829 0.512 0.829
37 Se 0.421 0.421 0.738
38 Se 0.738 0.421 0.421
39 Se 0.421 0.421 0.421
40 Se 0.421 0.738 0.421



Entry 2:
TeSeN2: optimized geometry, PBEsol.

Spin magnetization in μB/cell: 0.000
ΔE_f (raw) in eV per atom: 1.2686
Fermi-level density of states in states/eV/f.u.: 1.68
Symmetry: I-42d, No. 122

Unit cell a=5.430 b=5.430 c=5.430 alpha=99.63 beta=114.61 gamma=114.61
Element x y z (fractional)
1 Te 0.000 0.000 0.000
2 Te 0.500 0.750 0.250
3 Se 0.000 0.500 0.500
4 Se 0.500 0.250 0.750
5 N 0.990 0.615 0.125
6 N 0.010 0.135 0.625
7 N 0.510 0.375 0.385
8 N 0.490 0.875 0.865



Entry 3:
SrCaRh2: optimized geometry, PBEsol.

Spin magnetization in μB/cell: 0.000
Fermi-level density of states in states/eV/f.u.: 2.39
Calculated formation energy in meV/atom: -33
Symmetry: Imm2, No. 44

Unit cell a=3.248 b=4.820 c=6.136 alpha=113.13 beta=105.35 gamma=90.00
Element x y z (fractional)
1 Ca 0.267 0.767 0.533
2 Rh 0.032 0.032 0.063
3 Rh 0.720 0.220 0.441
4 Sr 0.482 0.482 0.963



Entry 4:
CaScSb2: optimized geometry, PBEsol.

Spin magnetization in μB/cell: 0.000
ΔE_f (raw) in eV per atom: -0.7309
Fermi-level density of states in states/eV/f.u.: 2.56
Excess energy over the best structure of this formula in the dataset in meV/atom: 136.8
Symmetry: C2/m, No. 12

Unit cell a=3.325 b=5.536 c=5.536 alpha=90.95 beta=96.65 gamma=96.65
Element x y z (fractional)
1 Sc 0.500 0.000 0.000
2 Sb 0.000 0.500 0.000
3 Sb 0.000 0.000 0.500
4 Ca 0.500 0.500 0.500



Entry 5:
BaLi2Ca: optimized geometry, PBEsol.

Spin magnetization in μB/cell: 0.000
Fermi-level density of states in states/eV/f.u.: 3.76
Calculated formation energy in meV/atom: 55
Excess energy over the best structure of this formula in the dataset in meV/atom: 21.1
Symmetry: Imm2, No. 44

Unit cell a=3.902 b=5.960 c=6.938 alpha=115.44 beta=106.33 gamma=90.00
Element x y z (fractional)
1 Ca 0.275 0.775 0.549
2 Ba 0.479 0.479 0.959
3 Li 0.031 0.031 0.063
4 Li 0.715 0.215 0.429



Entry 6:
Al3Re: optimized geometry, PBEsol.

Spin magnetization in μB/cell: 0.000
Fermi-level density of states in states/eV/f.u.: 2.21
Calculated formation energy in meV/atom: 579
Symmetry: Pm-3m, No. 221

Unit cell a=4.783 b=4.783 c=4.783 alpha=90.00 beta=90.00 gamma=90.00
Element x y z (fractional)
1 Re 0.000 0.000 0.000
2 Al 0.500 0.000 0.000
3 Al 0.000 0.500 0.000
4 Al 0.000 0.000 0.500



Entry 7:
Mg2Ta2FeO8: optimized geometry, PBEsol.

Spin magnetization in μB/cell: 8.000
ΔE_f (raw) in eV per atom: -2.5198
Fermi-level density of states in states/eV/f.u.: 2.95
Symmetry: C2/c, No. 15

Unit cell a=5.136 b=5.943 c=9.887 alpha=107.49 beta=90.32 gamma=90.00
Element x y z (fractional)
1 Mg 0.246 0.130 0.546
2 Mg 0.254 0.584 0.454
3 Mg 0.754 0.870 0.454
4 Mg 0.746 0.416 0.546
5 Ta 0.249 0.956 0.231
6 Ta 0.251 0.725 0.769
7 Ta 0.751 0.044 0.769
8 Ta 0.749 0.275 0.231
9 Fe 0.250 0.376 0.000
10 Fe 0.750 0.624 0.000
11 O 0.910 0.953 0.140
12 O 0.590 0.813 0.860
13 O 0.090 0.047 0.860
14 O 0.410 0.187 0.140
15 O 0.413 0.689 0.118
16 O 0.087 0.570 0.882
17 O 0.587 0.311 0.882
18 O 0.913 0.430 0.118
19 O 0.544 0.087 0.372
20 O 0.956 0.715 0.628
21 O 0.619 0.545 0.382
22 O 0.881 0.163 0.618
23 O 0.381 0.455 0.618
24 O 0.119 0.837 0.382
25 O 0.044 0.285 0.372
26 O 0.456 0.913 0.628



Entry 8:
CdFeCu2: optimized geometry, PBEsol.

Spin magnetization in μB/cell: 2.667
Fermi-level density of states in states/eV/f.u.: 3.43
Calculated formation energy in meV/atom: 295
Symmetry: I-4m2, No. 119

Unit cell a=3.824 b=3.824 c=4.548 alpha=114.86 beta=114.86 gamma=90.00
Element x y z (fractional)
1 Cd 0.250 0.750 0.500
2 Cu 0.000 0.000 0.000
3 Cu 0.750 0.250 0.500
4 Fe 0.500 0.500 0.000



Entry 9:
Ba2MnTe: optimized geometry, PBEsol.

Spin magnetization in μB/cell: 3.255
ΔE_f (raw) in eV per atom: 0.0900
Fermi-level density of states in states/eV/f.u.: 3.19
Symmetry: F-43m, No. 216

Unit cell a=5.651 b=5.651 c=5.651 alpha=60.00 beta=60.00 gamma=60.00
Element x y z (fractional)
1 Ba 0.000 0.000 0.000
2 Ba 0.750 0.750 0.750
3 Mn 0.500 0.500 0.500
4 Te 0.250 0.250 0.250



Entry 10:
TiReC3: optimized geometry, PBEsol.

Spin magnetization in μB/cell: 1.083
Fermi-level density of states in states/eV/f.u.: 4.79
Calculated formation energy in meV/atom: 2429
Excess energy over the best structure of this formula in the dataset in meV/atom: 991.1
Symmetry: Pm-3m, No. 221

Unit cell a=3.834 b=3.834 c=3.834 alpha=90.00 beta=90.00 gamma=90.00
Element x y z (fractional)
1 Re 0.500 0.500 0.500
2 C 0.000 0.500 0.000
3 C 0.000 0.000 0.500
4 C 0.500 0.000 0.000
5 Ti 0.000 0.000 0.000



Entry 11:
Ba3Mg5: optimized geometry, PBEsol.

Spin magnetization in μB/cell: 0.000
Fermi-level density of states in states/eV/f.u.: 7.34
Calculated formation energy in meV/atom: 22
Symmetry: Cmmm, No. 65

Unit cell a=5.640 b=7.210 c=7.210 alpha=107.43 beta=90.00 gamma=90.00
Element x y z (fractional)
1 Ba 0.000 0.500 0.500
2 Ba 0.500 0.750 0.250
3 Ba 0.500 0.250 0.750
4 Mg 0.000 0.000 0.000
5 Mg 0.000 0.000 0.500
6 Mg 0.000 0.500 0.000
7 Mg 0.500 0.215 0.215
8 Mg 0.500 0.785 0.785



Entry 12:
SrCaAu2: optimized geometry, PBEsol.

Spin magnetization in μB/cell: 0.000
Fermi-level density of states in states/eV/f.u.: 2.74
Calculated formation energy in meV/atom: -689
Symmetry: P4/mmm, No. 123

Unit cell a=3.632 b=5.205 c=5.205 alpha=90.00 beta=90.00 gamma=90.00
Element x y z (fractional)
1 Sr 0.000 0.000 0.000
2 Ca 0.000 0.500 0.500
3 Au 0.500 0.500 0.000
4 Au 0.500 0.000 0.500



Entry 13:
LiMgCuPt2: optimized geometry, PBEsol.

Spin magnetization in μB/cell: 0.000
Fermi-level density of states in states/eV/f.u.: 1.08
Calculated formation energy in meV/atom: 71
Symmetry: P4/mmm, No. 123

Unit cell a=3.990 b=4.235 c=4.235 alpha=90.00 beta=90.00 gamma=90.00
Element x y z (fractional)
1 Mg 0.500 0.500 0.500
2 Cu 0.500 0.000 0.000
3 Pt 0.000 0.000 0.500
4 Pt 0.000 0.500 0.000
5 Li 0.000 0.000 0.000



Entry 14:
Ta2CrNO5: optimized geometry, PBEsol.

Spin magnetization in μB/cell: 6.000
ΔE_f (raw) in eV per atom: -2.2585
Fermi-level density of states in states/eV/f.u.: 0.20
Excess energy over the best structure of this formula in the dataset in meV/atom: 10.6
Symmetry: C2/m, No. 12

Unit cell a=4.706 b=4.706 c=9.042 alpha=90.25 beta=90.25 gamma=89.74
Element x y z (fractional)
1 Ta 0.009 0.009 0.326
2 Ta 0.991 0.991 0.674
3 Ta 0.488 0.488 0.169
4 Ta 0.512 0.512 0.831
5 Cr 0.500 0.500 0.500
6 Cr 0.000 0.000 0.000
7 N 0.198 0.198 0.165
8 N 0.802 0.802 0.835
9 O 0.199 0.199 0.499
10 O 0.801 0.801 0.501
11 O 0.196 0.196 0.833
12 O 0.804 0.804 0.167
13 O 0.696 0.304 0.000
14 O 0.304 0.696 0.000
15 O 0.700 0.308 0.336
16 O 0.692 0.300 0.664
17 O 0.308 0.700 0.336
18 O 0.300 0.692 0.664



Entry 15:
Fe2OsAu: optimized geometry, PBEsol.

Spin magnetization in μB/cell: 3.937
Fermi-level density of states in states/eV/f.u.: 3.68
Calculated formation energy in meV/atom: 236
Excess energy over the best structure of this formula in the dataset in meV/atom: 0.0
Symmetry: Pmmm, No. 47

Unit cell a=2.677 b=3.639 c=5.444 alpha=90.00 beta=90.00 gamma=90.00
Element x y z (fractional)
1 Au 0.500 0.500 0.500
2 Fe 0.000 0.000 0.781
3 Fe 0.000 0.000 0.219
4 Os 0.500 0.500 0.000



Entry 16:
SbP2Cl: optimized geometry, PBEsol.

Spin magnetization in μB/cell: 0.000
ΔE_f (raw) in eV per atom: 0.6275
Fermi-level density of states in states/eV/f.u.: 2.77
Excess energy over the best structure of this formula in the dataset in meV/atom: 310.4
Symmetry: P4/mmm, No. 123

Unit cell a=3.444 b=4.629 c=4.629 alpha=90.00 beta=90.00 gamma=90.00
Element x y z (fractional)
1 Sb 0.500 0.500 0.500
2 P 0.000 0.000 0.500
3 P 0.000 0.500 0.000
4 Cl 0.500 0.000 0.000



Entry 17:
Cs3AgB: optimized geometry, PBEsol.

Spin magnetization in μB/cell: 2.784
Fermi-level density of states in states/eV/f.u.: 4.67
Calculated formation energy in meV/atom: 1105
Symmetry: Pm-3m, No. 221

Unit cell a=6.667 b=6.667 c=6.667 alpha=90.00 beta=90.00 gamma=90.00
Element x y z (fractional)
1 Cs 0.000 0.500 0.000
2 Cs 0.000 0.000 0.500
3 Cs 0.500 0.000 0.000
4 B 0.500 0.500 0.500
5 Ag 0.000 0.000 0.000



Entry 18:
ZrTi2O: optimized geometry, PBEsol.

Spin magnetization in μB/cell: 0.000
ΔE_f (raw) in eV per atom: -1.4956
Fermi-level density of states in states/eV/f.u.: 2.73
Symmetry: Cmmm, No. 65

Unit cell a=3.005 b=4.602 c=4.764 alpha=118.88 beta=90.00 gamma=90.00
Element x y z (fractional)
1 Zr 0.000 0.000 0.000
2 O 0.000 0.500 0.000
3 Ti 0.500 0.329 0.658
4 Ti 0.500 0.671 0.342



Entry 19:
Cr2CuMo: optimized geometry, PBEsol.

Spin magnetization in μB/cell: 0.000
Fermi-level density of states in states/eV/f.u.: 3.22
Calculated formation energy in meV/atom: 274
Excess energy over the best structure of this formula in the dataset in meV/atom: 0.0
Symmetry: P4/mmm, No. 123

Unit cell a=3.518 b=3.729 c=3.729 alpha=90.00 beta=90.00 gamma=90.00
Element x y z (fractional)
1 Cr 0.000 0.000 0.500
2 Cr 0.000 0.500 0.000
3 Cu 0.500 0.500 0.500
4 Mo 0.500 0.000 0.000



Entry 20:
MnReCl2: optimized geometry, PBEsol.

Spin magnetization in μB/cell: 3.298
ΔE_f (raw) in eV per atom: 0.9187
Fermi-level density of states in states/eV/f.u.: 3.19
Excess energy over the best structure of this formula in the dataset in meV/atom: 978.8
Symmetry: P4/mmm, No. 123

Unit cell a=2.831 b=2.831 c=9.207 alpha=90.00 beta=90.00 gamma=90.00
Element x y z (fractional)
1 Re 0.500 0.500 0.500
2 Mn 0.500 0.500 0.000
3 Cl 0.000 0.000 0.171
4 Cl 0.000 0.000 0.829



Entry 21:
YSiH3: optimized geometry, PBEsol.

Spin magnetization in μB/cell: 0.000
Fermi-level density of states in states/eV/f.u.: 1.23
Excess energy over the best structure of this formula in the dataset in meV/atom: 0.0
Symmetry: Pm-3m, No. 221

Unit cell a=3.646 b=3.646 c=3.646 alpha=90.00 beta=90.00 gamma=90.00
Element x y z (fractional)
1 Y 0.500 0.500 0.500
2 H 0.000 0.500 0.000
3 H 0.000 0.000 0.500
4 H 0.500 0.000 0.000
5 Si 0.000 0.000 0.000



Entry 22:
InTcAs2W: optimized geometry, PBEsol.

Spin magnetization in μB/cell: 0.704
Fermi-level density of states in states/eV/f.u.: 5.47
Calculated formation energy in meV/atom: 2381
Symmetry: P4/mmm, No. 123

Unit cell a=4.891 b=4.902 c=4.902 alpha=90.00 beta=90.00 gamma=90.00
Element x y z (fractional)
1 As 0.000 0.000 0.500
2 As 0.000 0.500 0.000
3 Tc 0.500 0.000 0.000
4 W 0.500 0.500 0.500
5 In 0.000 0.000 0.000



Entry 23:
TcGeSe2: optimized geometry, PBEsol.

Spin magnetization in μB/cell: 0.000
ΔE_f (raw) in eV per atom: -0.0284
Fermi-level density of states in states/eV/f.u.: 2.07
Symmetry: R-3m, No. 166

Unit cell a=3.118 b=3.118 c=9.254 alpha=80.30 beta=80.30 gamma=60.00
Element x y z (fractional)
1 Ge 0.000 0.000 0.000
2 Tc 0.500 0.500 0.500
3 Se 0.898 0.898 0.307
4 Se 0.102 0.102 0.693



Entry 24:
LuScRu2: optimized geometry, PBEsol.

Spin magnetization in μB/cell: 0.001
Fermi-level density of states in states/eV/f.u.: 4.03
Calculated formation energy in meV/atom: -450
Symmetry: Fm-3m, No. 225

Unit cell a=4.551 b=4.551 c=4.551 alpha=60.00 beta=60.00 gamma=60.00
Element x y z (fractional)
1 Sc 0.000 0.000 0.000
2 Ru 0.250 0.250 0.250
3 Ru 0.750 0.750 0.750
4 Lu 0.500 0.500 0.500



Entry 25:
BaTe3N: optimized geometry, PBEsol.

Spin magnetization in μB/cell: 7.064
ΔE_f (raw) in eV per atom: 1.3675
Fermi-level density of states in states/eV/f.u.: 4.83
Symmetry: Pm-3m, No. 221

Unit cell a=6.700 b=6.700 c=6.700 alpha=90.00 beta=90.00 gamma=90.00
Element x y z (fractional)
1 Te 0.000 0.500 0.000
2 Te 0.000 0.000 0.500
3 Te 0.500 0.000 0.000
4 Ba 0.000 0.000 0.000
5 N 0.500 0.500 0.500



Number 1: final energy -3.880 eV/atom. Number 2: final energy -4.839 eV/atom. Number 3: final energy -5.095 eV/atom. Number 4: final energy -5.194 eV/atom. Number 5: final energy -1.999 eV/atom. Number 6: final energy -5.823 eV/atom. Number 7: final energy -8.635 eV/atom. Number 8: final energy -4.412 eV/atom. Number 9: final energy -4.306 eV/atom. Number 10: final energy -7.688 eV/atom. Number 11: final energy -1.857 eV/atom. Number 12: final energy -3.645 eV/atom. Number 13: final energy -4.318 eV/atom. Number 14: final energy -10.049 eV/atom. Number 15: final energy -8.281 eV/atom. Number 16: final energy -3.909 eV/atom. Number 17: final energy -1.526 eV/atom. Number 18: final energy -9.241 eV/atom. Number 19: final energy -8.872 eV/atom. Number 20: final energy -5.859 eV/atom. Number 21: final energy -4.448 eV/atom. Number 22: final energy -5.273 eV/atom. Number 23: final energy -6.005 eV/atom. Number 24: final energy -8.405 eV/atom. Number 25: final energy -2.883 eV/atom.